Model w:
This record from Alexandria describes Cu3GeW after structural relaxation. The functional is PBE.

Cell lengths 4.3249, 4.3249, 4.3249 Å; angles 90.00, 90.00, 90.00 degrees
Last column: nearest neighbours and their distance in Å.
Atoms (fractional coordinates):
Cu (0.5000, 0.0000, 0.0000)  2 Ge 2.16
Cu (0.0000, 0.5000, 0.0000)  2 Ge 2.16
Cu (0.0000, 0.0000, 0.5000)  2 Ge 2.16
W (0.5000, 0.5000, 0.5000)  12 Cu 3.06
Ge (0.0000, 0.0000, 0.0000)  6 Cu 2.16

Results
* space-group type: Pm-3m
* ρ: 9.18 g/cm3



Model x:
This record from Alexandria describes Cu3GeW after structural relaxation. The functional is PBE.

Cell lengths 4.7116, 4.7116, 4.7116 Å; angles 90.00, 90.00, 90.00 degrees
Last column: nearest neighbours and their distance in Å.
Atoms (fractional coordinates):
Cu (0.0000, 0.5000, 0.0000)  2 W 2.36
Cu (0.5000, 0.0000, 0.0000)  2 W 2.36
Cu (0.0000, 0.0000, 0.5000)  2 W 2.36
W (0.0000, 0.0000, 0.0000)  6 Cu 2.36
Ge (0.5000, 0.5000, 0.5000)  12 Cu 3.33

Results
* space-group type: Pm-3m
* ρ: 7.10 g/cm3



Least stable of them? model x.



Model w:
This record from Alexandria describes Y2CuGe3 after structural relaxation. The functional is PBE.

Cell lengths 4.0505, 4.2412, 7.1015 Å; angles 90.00, 90.00, 90.00 degrees
Last column: nearest neighbours and their distance in Å.
Atoms (fractional coordinates):
Ge (0.5000, 0.0000, 0.8373)  3 Ge 2.47-2.49
Ge (0.5000, 0.5000, 0.6531)  1 Cu 2.34, 2 Ge 2.49
Ge (0.5000, 0.0000, 0.1847)  2 Cu 2.34, 1 Ge 2.47
Cu (0.5000, 0.5000, 0.3236)  3 Ge 2.34
Y (0.0000, 0.5000, 0.9966)  2 Cu 3.08, 10 Ge 3.14-3.22
Y (0.0000, 0.0000, 0.5047)  8 Ge 3.04-3.12, 4 Cu 3.20

Results
* space-group type: Pmm2
* ρ: 6.25 g/cm3



Model x:
This record from Alexandria describes Y2CuGe3 after structural relaxation. The functional is PBE.

Cell lengths 5.8101, 5.8101, 8.2495 Å; angles 110.06, 110.06, 91.50 degrees
Last column: nearest neighbours and their distance in Å.
Atoms (fractional coordinates):
Y (0.2500, 0.7500, 0.5000)  8 Ge 3.11-3.12, 4 Cu 3.14
Y (0.2418, 0.2418, 0.0000)  10 Ge 3.14-3.17, 2 Cu 3.19
Y (0.7500, 0.2500, 0.5000)  8 Ge 3.11-3.12, 4 Cu 3.14
Y (0.7582, 0.7582, 0.0000)  10 Ge 3.14-3.17, 2 Cu 3.19
Ge (0.6534, 0.1755, 0.8288)  1 Cu 2.31, 2 Ge 2.46-2.49
Ge (0.1705, 0.1705, 0.3410)  1 Cu 2.33, 2 Ge 2.49
Ge (0.8245, 0.3466, 0.1712)  1 Cu 2.31, 2 Ge 2.46-2.49
Ge (0.1755, 0.6534, 0.8288)  1 Cu 2.31, 2 Ge 2.46-2.49
Ge (0.3466, 0.8245, 0.1712)  1 Cu 2.31, 2 Ge 2.46-2.49
Ge (0.8295, 0.8295, 0.6590)  1 Cu 2.33, 2 Ge 2.49
Cu (0.3328, 0.3328, 0.6655)  3 Ge 2.31-2.33
Cu (0.6672, 0.6672, 0.3345)  3 Ge 2.31-2.33

Results
* space-group type: Fmmm
* ρ: 6.29 g/cm3



Least stable of them? model w.



Model w:
This record from Alexandria describes Yb2CuGe6 after structural relaxation. The functional is PBE.

Cell lengths 11.0687, 11.0687, 4.1258 Å; angles 90.00, 90.00, 159.02 degrees
Last column: nearest neighbours and their distance in Å.
Atoms (fractional coordinates):
Ge (0.2849, 0.7151, 0.0000)  2 Cu 2.46, 1 Ge 2.52
Ge (0.1148, 0.8852, 0.5000)  1 Cu 2.37, 2 Ge 2.53
Ge (0.7869, 0.2131, 0.5000)  2 Cu 2.44, 1 Ge 2.53
Ge (0.9030, 0.0970, 0.5000)  1 Ge 2.53
Ge (0.4009, 0.5991, 0.0000)  1 Ge 2.52
Ge (0.5447, 0.4553, 0.5000)  2 Ge 2.53
Cu (0.2236, 0.7764, 0.5000)  5 Ge 2.37-2.46
Yb (0.0050, 0.9950, 0.0000)  10 Ge 3.01-3.16
Yb (0.6673, 0.3327, 0.0000)  10 Ge 3.10-3.37, 4 Cu 3.13

Results
* space-group type: Amm2
* ρ: 7.76 g/cm3



Model x:
This record from Alexandria describes Yb2CuGe6 after structural relaxation. The functional is PBE.

Cell lengths 5.7900, 5.7900, 10.9420 Å; angles 82.59, 82.59, 91.25 degrees
Last column: nearest neighbours and their distance in Å.
Atoms (fractional coordinates):
Yb (0.6655, 0.1656, 0.3372)  10 Ge 3.01-3.33, 2 Cu 3.18-3.19
Yb (0.8344, 0.3345, 0.6628)  10 Ge 3.01-3.33, 2 Cu 3.18-3.19
Yb (0.1656, 0.6655, 0.3372)  10 Ge 3.01-3.33, 2 Cu 3.18-3.19
Yb (0.3345, 0.8344, 0.6628)  10 Ge 3.01-3.33, 2 Cu 3.18-3.19
Ge (0.8597, 0.8597, 0.5799)  2 Ge 2.53-2.60
Ge (0.5549, 0.0032, 0.8843)  1 Cu 2.51, 3 Ge 2.52-2.59
Ge (0.0012, 0.0012, 0.8841)  1 Cu 2.48, 3 Ge 2.53-2.58
Ge (0.5568, 0.5568, 0.8839)  1 Cu 2.48, 3 Ge 2.54-2.59
Ge (0.1403, 0.1403, 0.4201)  2 Ge 2.53-2.60
Ge (0.0032, 0.5549, 0.8843)  1 Cu 2.51, 3 Ge 2.52-2.59
Ge (0.6453, 0.6453, 0.4381)  1 Cu 2.42, 2 Ge 2.49-2.53
Ge (0.9988, 0.9988, 0.1159)  1 Cu 2.48, 3 Ge 2.53-2.58
Ge (0.3547, 0.3547, 0.5619)  1 Cu 2.42, 2 Ge 2.49-2.53
Ge (0.9968, 0.4451, 0.1157)  1 Cu 2.51, 3 Ge 2.52-2.59
Ge (0.4451, 0.9968, 0.1157)  1 Cu 2.51, 3 Ge 2.52-2.59
Ge (0.4432, 0.4432, 0.1161)  1 Cu 2.48, 3 Ge 2.54-2.59
Cu (0.3030, 0.3030, 0.7868)  5 Ge 2.42-2.51
Cu (0.6970, 0.6970, 0.2132)  5 Ge 2.42-2.51

Results
* space-group type: C2/m
* ρ: 7.79 g/cm3



Least stable of them? model w.



Model w:
This record from Alexandria describes ZnCu6Ge2 after structural relaxation. The functional is PBE.

Cell lengths 3.7818, 4.5366, 8.0352 Å; angles 72.35, 76.39, 65.37 degrees
Last column: nearest neighbours and their distance in Å.
Atoms (fractional coordinates):
Ge (0.6717, 0.3919, 0.2647)  10 Cu 2.54-2.73, 2 Zn 2.74
Ge (0.3283, 0.6081, 0.7353)  10 Cu 2.54-2.73, 2 Zn 2.74
Cu (0.3352, 0.2764, 0.0533)  3 Ge 2.54-2.63, 9 Cu 2.60-2.67
Cu (0.0021, 0.1593, 0.8366)  3 Ge 2.57-2.64, 8 Cu 2.59-2.69, 1 Zn 2.68
Cu (0.6662, 0.0570, 0.6106)  3 Zn 2.63, 5 Cu 2.67-2.69, 4 Ge 2.67-2.73
Cu (0.9979, 0.8407, 0.1634)  3 Ge 2.57-2.64, 8 Cu 2.59-2.69, 1 Zn 2.68
Cu (0.6648, 0.7236, 0.9467)  3 Ge 2.54-2.63, 9 Cu 2.60-2.67
Cu (0.3338, 0.9430, 0.3894)  3 Zn 2.63, 5 Cu 2.67-2.69, 4 Ge 2.67-2.73
Zn (0.0000, 0.5000, 0.5000)  8 Cu 2.63-2.68, 4 Ge 2.74

Results
* space-group type: C2/m
* ρ: 8.30 g/cm3



Model x:
This record from Alexandria describes ZnCu6Ge2 after structural relaxation. The functional is PBE.

Cell lengths 4.3779, 7.4070, 7.4577 Å; angles 90.00, 89.14, 90.00 degrees
Last column: nearest neighbours and their distance in Å.
Atoms (fractional coordinates):
Cu (0.5748, 0.4460, 0.3362)  6 Cu 2.50-2.74, 2 Ge 2.52-2.55, 1 Zn 2.56
Cu (0.0539, 0.2859, 0.1083)  3 Ge 2.56-2.59, 5 Cu 2.57-2.68, 1 Zn 2.63
Cu (0.5718, 0.1651, 0.9556)  3 Ge 2.50-2.72, 7 Cu 2.50-2.74, 1 Zn 2.52
Cu (0.4461, 0.7859, 0.3917)  3 Ge 2.56-2.59, 5 Cu 2.57-2.68, 1 Zn 2.63
Cu (0.9461, 0.7141, 0.8917)  3 Ge 2.56-2.59, 5 Cu 2.57-2.68, 1 Zn 2.63
Cu (0.9252, 0.9460, 0.1638)  6 Cu 2.50-2.74, 2 Ge 2.52-2.55, 1 Zn 2.56
Cu (0.4282, 0.8349, 0.0444)  3 Ge 2.50-2.72, 7 Cu 2.50-2.74, 1 Zn 2.52
Cu (0.0718, 0.3349, 0.4556)  3 Ge 2.50-2.72, 7 Cu 2.50-2.74, 1 Zn 2.52
Cu (0.5539, 0.2141, 0.6083)  3 Ge 2.56-2.59, 5 Cu 2.57-2.68, 1 Zn 2.63
Cu (0.0748, 0.0540, 0.8362)  6 Cu 2.50-2.74, 2 Ge 2.52-2.55, 1 Zn 2.56
Cu (0.4252, 0.5540, 0.6638)  6 Cu 2.50-2.74, 2 Ge 2.52-2.55, 1 Zn 2.56
Cu (0.9282, 0.6651, 0.5444)  3 Ge 2.50-2.72, 7 Cu 2.50-2.74, 1 Zn 2.52
Ge (0.0371, 0.6135, 0.2189)  8 Cu 2.50-2.72, 1 Zn 2.72
Ge (0.4629, 0.1135, 0.2811)  8 Cu 2.50-2.72, 1 Zn 2.72
Ge (0.9629, 0.3865, 0.7811)  8 Cu 2.50-2.72, 1 Zn 2.72
Ge (0.5371, 0.8865, 0.7189)  8 Cu 2.50-2.72, 1 Zn 2.72
Zn (0.0000, 0.0000, 0.5000)  6 Cu 2.52-2.63, 2 Ge 2.72
Zn (0.5000, 0.5000, 0.0000)  6 Cu 2.52-2.63, 2 Ge 2.72

Results
* space-group type: P2_1/c
* ρ: 8.13 g/cm3



Least stable of them? model x.



Model w:
This record from Alexandria describes Zn2Cu8Ge after structural relaxation. The functional is PBE.

Cell lengths 4.4536, 6.6103, 6.8921 Å; angles 61.34, 74.27, 55.58 degrees
Last column: nearest neighbours and their distance in Å.
Atoms (fractional coordinates):
Cu (0.6947, 0.5746, 0.0000)  6 Cu 2.31-2.54, 1 Ge 2.43
Cu (0.8182, 0.1017, 0.2498)  5 Cu 2.42-2.68, 2 Zn 2.50-2.54
Cu (0.5000, 0.7984, 0.4032)  1 Ge 2.44, 2 Zn 2.57, 4 Cu 2.60-2.68
Cu (0.3053, 0.4254, 0.0000)  6 Cu 2.31-2.54, 1 Ge 2.43
Cu (0.8182, 0.3516, 0.7502)  5 Cu 2.42-2.68, 2 Zn 2.50-2.54
Cu (0.1818, 0.6484, 0.2498)  5 Cu 2.42-2.68, 2 Zn 2.50-2.54
Cu (0.1818, 0.8983, 0.7502)  5 Cu 2.42-2.68, 2 Zn 2.50-2.54
Cu (0.5000, 0.2016, 0.5968)  1 Ge 2.44, 2 Zn 2.57, 4 Cu 2.60-2.68
Zn (0.0000, 0.3084, 0.3832)  10 Cu 2.50-2.75
Zn (0.0000, 0.6916, 0.6168)  10 Cu 2.50-2.75
Ge (0.5000, 0.0000, 0.0000)  4 Cu 2.43-2.44

Results
* space-group type: C2/m
* ρ: 8.05 g/cm3



Model x:
This record from Alexandria describes Zn2Cu8Ge after structural relaxation. The functional is PBE.

Cell lengths 3.7275, 5.8742, 6.8717 Å; angles 105.47, 105.74, 90.00 degrees
Last column: nearest neighbours and their distance in Å.
Atoms (fractional coordinates):
Cu (0.9562, 0.2772, 0.9124)  1 Zn 2.53, 9 Cu 2.55-2.64, 2 Ge 2.64
Cu (0.6810, 0.9118, 0.3619)  3 Zn 2.58-2.60, 1 Ge 2.59, 8 Cu 2.59-2.64
Cu (0.4099, 0.5497, 0.8199)  8 Cu 2.58-2.64, 1 Ge 2.58, 3 Zn 2.59-2.68
Cu (0.8613, 0.8173, 0.7226)  7 Cu 2.59-2.64, 3 Zn 2.62, 2 Ge 2.63
Cu (0.1387, 0.1827, 0.2774)  7 Cu 2.59-2.64, 3 Zn 2.62, 2 Ge 2.63
Cu (0.5901, 0.4503, 0.1801)  8 Cu 2.58-2.64, 1 Ge 2.58, 3 Zn 2.59-2.68
Cu (0.3190, 0.0882, 0.6381)  3 Zn 2.58-2.60, 1 Ge 2.59, 8 Cu 2.59-2.64
Cu (0.0438, 0.7228, 0.0876)  1 Zn 2.53, 9 Cu 2.55-2.64, 2 Ge 2.64
Zn (0.2223, 0.6419, 0.4445)  10 Cu 2.53-2.68, 2 Zn 2.73
Zn (0.7777, 0.3581, 0.5555)  10 Cu 2.53-2.68, 2 Zn 2.73
Ge (0.5000, 0.0000, 0.0000)  12 Cu 2.58-2.64

Results
* space-group type: C2/m
* ρ: 8.49 g/cm3



Least stable of them? model w.



Model w:
This record from Alexandria describes Zn2CuGe2 after structural relaxation. The functional is PBE.

Cell lengths 6.4793, 6.4793, 4.1118 Å; angles 90.00, 90.00, 90.00 degrees
Last column: nearest neighbours and their distance in Å.
Atoms (fractional coordinates):
Ge (0.6469, 0.1469, 0.0000)  2 Cu 2.48, 2 Zn 2.67, 1 Ge 2.69
Ge (0.3531, 0.8531, 0.0000)  2 Cu 2.48, 2 Zn 2.67, 1 Ge 2.69
Ge (0.1469, 0.3531, 0.0000)  2 Cu 2.48, 2 Zn 2.67, 1 Ge 2.69
Ge (0.8531, 0.6469, 0.0000)  2 Cu 2.48, 2 Zn 2.67, 1 Ge 2.69
Cu (0.0000, 0.0000, 0.0000)  4 Ge 2.48
Cu (0.5000, 0.5000, 0.0000)  4 Ge 2.48
Zn (0.1673, 0.6673, 0.5000)  6 Ge 2.67-2.90
Zn (0.6673, 0.8327, 0.5000)  6 Ge 2.67-2.90
Zn (0.3327, 0.1673, 0.5000)  6 Ge 2.67-2.90
Zn (0.8327, 0.3327, 0.5000)  6 Ge 2.67-2.90

Results
* space-group type: P4/mbm
* ρ: 6.53 g/cm3



Model x:
This record from Alexandria describes Zn2CuGe2 after structural relaxation. The functional is PBE.

Cell lengths 6.5986, 6.5986, 3.8935 Å; angles 90.00, 90.00, 90.00 degrees
Last column: nearest neighbours and their distance in Å.
Atoms (fractional coordinates):
Ge (0.6668, 0.8332, 0.5000)  6 Zn 2.64-2.82
Ge (0.3332, 0.1668, 0.5000)  6 Zn 2.64-2.82
Ge (0.1668, 0.6668, 0.5000)  6 Zn 2.64-2.82
Ge (0.8332, 0.3332, 0.5000)  6 Zn 2.64-2.82
Zn (0.1417, 0.3583, 0.0000)  2 Cu 2.54, 6 Ge 2.64-2.82, 1 Zn 2.65
Zn (0.6417, 0.1417, 0.0000)  2 Cu 2.54, 6 Ge 2.64-2.82, 1 Zn 2.65
Zn (0.8583, 0.6417, 0.0000)  2 Cu 2.54, 6 Ge 2.64-2.82, 1 Zn 2.65
Zn (0.3583, 0.8583, 0.0000)  2 Cu 2.54, 6 Ge 2.64-2.82, 1 Zn 2.65
Cu (0.0000, 0.0000, 0.0000)  4 Zn 2.54
Cu (0.5000, 0.5000, 0.0000)  4 Zn 2.54

Results
* space-group type: P4/mbm
* ρ: 6.65 g/cm3



Least stable of them? model x.